# GGA+U TiFeF2, relaxed
data_TiFeF2
_symmetry_space_group_name_H-M 'R -3 m'
_symmetry_Int_Tables_number 166
_symmetry_space_group_name_Hall '-R 3 2"'
_cell_length_a 2.7525
_cell_length_b 2.7525
_cell_length_c 23.7266
_cell_angle_alpha 90.00
_cell_angle_beta 90.00
_cell_angle_gamma 120.00
loop_
_atom_site_label
_atom_site_type_symbol
_atom_site_fract_x
_atom_site_fract_y
_atom_site_fract_z
_atom_site_occupancy
Ti1 Ti 0.0000 0.0000 0.0000 1
Fe1 Fe 0.0000 0.0000 0.5000 1
F1 F 0.0000 0.0000 0.3949 1
# - Excess energy over the best structure of this formula in the dataset: 0.000 eV/atom
# - Spin magnetization: 0.89 μB/atom